Entry 1:
Below is an optimized crystal structure of Tl3VBi3Se8, with properties calculated at the PBE level.

Cell: 8.3138 8.3138 23.1569 Å, 90.00 90.00 120.00°
Space group R-3m (No. 166, hexagonal axes)
One atom of each set of equivalent atoms:
Tl 0.0000 0.5000 0.0000
V 0.0000 0.0000 0.5000
Bi 0.0000 0.5000 0.5000
Se 0.0000 0.0000 0.2403
Se 0.0390 0.5195 0.2311

Output
For the total magnetization, the calculation gives 2.97 μB/cell.

Entry 2:
Below is an optimized crystal structure of PaTePd6, with properties calculated at the PBE level.

Cell: 4.1462 4.1462 8.2313 Å, 90.00 90.00 90.00°
Space group P4/mmm (No. 123)
One atom of each set of equivalent atoms:
Pa 0.0000 0.0000 0.0000
Te 0.0000 0.0000 0.5000
Pd 0.0000 0.5000 0.2369
Pd 0.5000 0.5000 0.0000
Pd 0.5000 0.5000 0.5000

Output
For the total magnetization, the calculation gives 0.00 μB/cell.

Entry 3:
Below is an optimized crystal structure of Ac3Pm2Si3, with properties calculated at the PBE level.

Cell: 4.2482 4.8346 23.8508 Å, 90.00 90.00 90.00°
Space group Immm (No. 71)
One atom of each set of equivalent atoms:
Ac 0.0000 0.0000 0.0000
Ac 0.0000 0.5000 0.1170
Pm 0.0000 0.0000 0.2612
Si 0.0000 0.0000 0.5000
Si 0.0000 0.5000 0.3382

Output
For the total magnetization, the calculation gives 0.00 μB/cell.

Number 1: formation energy (no corrections) -0.453 eV per atom. Number 2: formation energy (no corrections) -0.551 eV per atom. Number 3: formation energy (no corrections) -0.318 eV per atom.